one) A relaxed structure of SiPbAu2. Source: the Alexandria database, functional PBEsol.

Density of states at the Fermi level: 1.97 states/eV/f.u.

Cell: 5.2494 5.2494 5.2494 Å, 132.17 132.17 69.95°
Closest atoms and distances in Å follow each position.
Atoms (fractional coordinates):
Si1 0.0000 0.0000 0.0000  8 Au 3.01-3.03, 4 Pb 3.03
Pb1 0.2500 0.7500 0.5000  8 Au 3.01-3.03, 4 Si 3.03
Au1 0.5000 0.5000 0.0000  4 Si 3.01, 4 Pb 3.03, 4 Au 3.03
Au2 0.7500 0.2500 0.5000  4 Pb 3.01, 4 Si 3.03, 4 Au 3.03

---

two) A relaxed structure of SiPbAu2. Source: the Alexandria database, functional PBEsol.

Density of states at the Fermi level: 1.71 states/eV/f.u.

Cell: 4.6840 4.6840 3.6868 Å, 90.00 90.00 101.77°
Closest atoms and distances in Å follow each position.
Atoms (fractional coordinates):
Si1 0.0000 0.0000 0.0000  2 Pb 2.96, 8 Au 2.98
Pb1 0.5000 0.5000 0.0000  2 Si 2.96, 8 Au 2.98
Au1 0.0000 0.5000 0.5000  2 Au 2.96, 4 Pb 2.98, 4 Si 2.98
Au2 0.5000 0.0000 0.5000  2 Au 2.96, 4 Pb 2.98, 4 Si 2.98

---

Taking the most stable structure as the zero point, the relative energies in kJ/mol of atoms are one) 2.9; two) 0.0.

---

one) A relaxed structure of TlPb2Au. Source: the Alexandria database, functional PBEsol.

Density of states at the Fermi level: 1.70 states/eV/f.u.

Cell: 9.9123 9.9123 9.9123 Å, 20.56 20.56 20.56°
Closest atoms and distances in Å follow each position.
Atoms (fractional coordinates):
Tl1 0.0000 0.0000 0.0000  3 Au 2.91
Pb1 0.5228 0.5228 0.5228  3 Au 2.94
Pb2 0.7606 0.7606 0.7606  3 Tl 3.41, 9 Pb 3.45-3.54
Au1 0.2620 0.2620 0.2620  3 Tl 2.91, 3 Pb 2.94

---

two) A relaxed structure of TlPb2Au. Source: the Alexandria database, functional PBEsol.

Density of states at the Fermi level: 1.48 states/eV/f.u.

Cell: 6.2675 6.2675 6.2675 Å, 146.60 129.68 61.75°
Closest atoms and distances in Å follow each position.
Atoms (fractional coordinates):
Tl1 0.0000 0.0000 0.0000  2 Au 2.95, 4 Pb 3.29
Pb1 0.4340 0.4340 0.0000  2 Au 2.94, 4 Tl 3.29
Pb2 0.7181 0.2181 0.5000  4 Au 3.22, 4 Tl 3.53-3.55, 4 Pb 3.53-3.55
Au1 0.2177 0.7177 0.5000  6 Pb 2.94-3.22, 2 Tl 2.95

---

three) A relaxed structure of TlPb2Au. Source: the Alexandria database, functional PBEsol.

Density of states at the Fermi level: 1.29 states/eV/f.u.

Cell: 5.2366 5.2366 5.2366 Å, 60.00 60.00 60.00°
Closest atoms and distances in Å follow each position.
Atoms (fractional coordinates):
Tl1 0.0000 0.0000 0.0000  8 Pb 3.21
Pb1 0.2500 0.2500 0.2500  4 Tl 3.21, 4 Au 3.21
Pb2 0.7500 0.7500 0.7500  4 Au 3.21, 4 Tl 3.21
Au1 0.5000 0.5000 0.5000  8 Pb 3.21

---

Taking the most stable structure as the zero point, the relative energies in kJ/mol of atoms are one) 1.1; two) 0.0; three) 4.9.

---

one) A relaxed structure of TlPbAu2. Source: the Alexandria database, functional PBEsol.

Density of states at the Fermi level: 1.45 states/eV/f.u.

Cell: 3.5585 5.0097 5.0204 Å, 90.00 90.00 90.00°
Closest atoms and distances in Å follow each position.
Atoms (fractional coordinates):
Tl1 0.0000 0.0000 0.0000  8 Au 3.07-3.08
Pb1 0.0000 0.5000 0.5000  8 Au 3.07-3.08
Au1 0.5000 0.0000 0.5000  4 Pb 3.07, 4 Tl 3.08
Au2 0.5000 0.5000 0.0000  4 Tl 3.07, 4 Pb 3.08

---

two) A relaxed structure of TlPbAu2. Source: the Alexandria database, functional PBEsol.

Density of states at the Fermi level: 1.34 states/eV/f.u.

Cell: 6.1608 6.1608 6.1608 Å, 150.34 128.36 60.69°
Closest atoms and distances in Å follow each position.
Atoms (fractional coordinates):
Tl1 0.0000 0.0000 0.0000  6 Au 3.10-3.13, 2 Tl 3.15, 2 Pb 3.47
Pb1 0.7065 0.2065 0.5000  6 Au 3.00-3.15, 2 Pb 3.15
Au1 0.2508 0.7508 0.5000  2 Au 2.79, 2 Tl 3.10
Au2 0.4668 0.4668 0.0000  2 Au 2.79, 2 Pb 3.00

---

three) A relaxed structure of TlPbAu2. Source: the Alexandria database, functional PBEsol.

Density of states at the Fermi level: 1.35 states/eV/f.u.

Cell: 5.5482 5.5482 5.3580 Å, 107.49 107.49 34.73°
Closest atoms and distances in Å follow each position.
Atoms (fractional coordinates):
Tl1 0.0000 0.0000 0.0000  7 Au 3.04-3.19, 2 Tl 3.31, 1 Pb 3.33
Pb1 0.2080 0.2080 0.6459  7 Au 2.98-3.20, 2 Pb 3.31, 1 Tl 3.33
Au1 0.4614 0.4614 0.4714  2 Au 2.81, 3 Pb 2.98-3.11
Au2 0.7530 0.7530 0.1771  2 Au 2.81, 3 Tl 3.04-3.05

---

Taking the most stable structure as the zero point, the relative energies in kJ/mol of atoms are one) 2.5; two) 0.9; three) 0.0.

---

one) A relaxed structure of TlPbAu2. Source: the Alexandria database, functional PBEsol.

Density of states at the Fermi level: 1.44 states/eV/f.u.

Cell: 7.2494 7.2494 7.2494 Å, 32.40 32.40 32.40°
Closest atoms and distances in Å follow each position.
Atoms (fractional coordinates):
Tl1 0.0000 0.0000 0.0000  6 Au 2.88
Pb1 0.5000 0.5000 0.5000  6 Au 2.91
Au1 0.2511 0.2511 0.2511  3 Tl 2.88, 3 Pb 2.91
Au2 0.7489 0.7489 0.7489  3 Tl 2.88, 3 Pb 2.91

---

two) A relaxed structure of TlPbAu2. Source: the Alexandria database, functional PBEsol.

Density of states at the Fermi level: 1.47 states/eV/f.u.

Cell: 3.5204 3.5204 7.2235 Å, 90.00 90.00 92.61°
Closest atoms and distances in Å follow each position.
Atoms (fractional coordinates):
Tl1 0.0000 0.0000 0.0000  8 Au 3.02-3.11
Pb1 0.0000 0.0000 0.5000  8 Au 3.04-3.13
Au1 0.5000 0.5000 0.2469  4 Tl 3.02-3.11, 4 Pb 3.04-3.13
Au2 0.5000 0.5000 0.7531  4 Tl 3.02-3.11, 4 Pb 3.04-3.13

---

Taking the most stable structure as the zero point, the relative energies in kJ/mol of atoms are one) 0.0; two) 0.8.

---

one) A relaxed structure of TlPbAu2. Source: the Alexandria database, functional PBEsol.

Density of states at the Fermi level: 1.34 states/eV/f.u.

Cell: 5.0790 5.0790 5.0790 Å, 122.20 122.20 86.23°
Closest atoms and distances in Å follow each position.
Atoms (fractional coordinates):
Tl1 0.0000 0.0000 0.0000  8 Au 3.08
Pb1 0.5000 0.5000 0.0000  8 Au 3.08
Au1 0.2500 0.7500 0.5000  4 Tl 3.08, 4 Pb 3.08
Au2 0.7500 0.2500 0.5000  4 Tl 3.08, 4 Pb 3.08

---

two) A relaxed structure of TlPbAu2. Source: the Alexandria database, functional PBEsol.

Density of states at the Fermi level: 1.38 states/eV/f.u.

Cell: 7.6410 7.6410 7.6410 Å, 30.04 30.04 30.04°
Closest atoms and distances in Å follow each position.
Atoms (fractional coordinates):
Tl1 0.0000 0.0000 0.0000  3 Au 2.83
Pb1 0.2202 0.2202 0.2202  3 Au 2.83
Au1 0.4776 0.4776 0.4776  3 Au 2.73, 3 Pb 2.83
Au2 0.7432 0.7432 0.7432  3 Au 2.73, 3 Tl 2.83

---

Taking the most stable structure as the zero point, the relative energies in kJ/mol of atoms are one) 1.1; two) 0.0.

---

one) A relaxed structure of TlPbAu2. Source: the Alexandria database, functional PBEsol.

Density of states at the Fermi level: 1.48 states/eV/f.u.

Cell: 3.3109 3.4234 8.0516 Å, 90.00 90.00 90.00°
Closest atoms and distances in Å follow each position.
Atoms (fractional coordinates):
Tl1 0.0000 0.0000 0.0000  4 Au 3.04, 2 Tl 3.31
Pb1 0.5000 0.5000 0.6529  4 Au 3.00, 2 Pb 3.31
Au1 0.0000 0.0000 0.4255  4 Au 2.84, 4 Pb 3.00
Au2 0.5000 0.5000 0.2338  4 Au 2.84, 4 Tl 3.04

---

two) A relaxed structure of TlPbAu2. Source: the Alexandria database, functional PBEsol.

Density of states at the Fermi level: 1.46 states/eV/f.u.

Cell: 4.4726 5.7075 5.7075 Å, 38.52 90.00 90.00°
Closest atoms and distances in Å follow each position.
Atoms (fractional coordinates):
Tl1 0.0000 0.0000 0.0000  7 Au 2.92-3.10
Pb1 0.5000 0.7073 0.7073  7 Au 2.92-3.10
Au1 0.0000 0.2714 0.2714  2 Au 2.85, 3 Tl 2.92-3.10, 4 Pb 3.00
Au2 0.5000 0.4359 0.4359  2 Au 2.85, 3 Pb 2.92-3.10, 4 Tl 3.00

---

Taking the most stable structure as the zero point, the relative energies in kJ/mol of atoms are one) 5.1; two) 0.0.